1.
First-principles (PBE) data for a geometry-optimized MgCoIr structure, as listed in Alexandria.

Results
DOS at the Fermi energy: 1.14 states/eV per atom
ρ: 10.6 g/cm³
ΔH_f (0 K): 43 kJ/mol of formula units

a = 6.8960 Å, b = 6.6685 Å, c = 2.7093 Å
α = 83.24°, β = 73.80°, γ = 22.96°
Closest atoms and distances in Å follow each position.
Atoms (fractional coordinates):
Mg (0.0000, 0.0000, 0.0000)  2 Co 2.63, 2 Ir 2.68, 6 Mg 2.71-2.92
Co (0.6683, 0.6683, 0.3317)  2 Ir 2.53, 2 Mg 2.63, 4 Co 2.71
Ir (0.3273, 0.3273, 0.6727)  2 Co 2.53, 2 Mg 2.68, 4 Ir 2.71

---

2.
First-principles (PBE) data for a geometry-optimized ZrTi2Au2 structure, as listed in Alexandria.

Results
DOS at the Fermi energy: 2.40 states/eV per atom
ρ: 10.0 g/cm³
ΔH_f (0 K): -81 kJ/mol of formula units

a = 7.0389 Å, b = 7.0389 Å, c = 7.0389 Å
α = 148.17°, β = 148.17°, γ = 45.63°
Closest atoms and distances in Å follow each position.
Atoms (fractional coordinates):
Zr (0.0000, 0.0000, 0.0000)  8 Au 3.04
Ti (0.2500, 0.7500, 0.5000)  4 Au 2.72, 4 Ti 2.73
Ti (0.7500, 0.2500, 0.5000)  4 Au 2.72, 4 Ti 2.73
Au (0.3973, 0.3973, 0.0000)  1 Au 2.66, 4 Ti 2.72
Au (0.6027, 0.6027, 0.0000)  1 Au 2.66, 4 Ti 2.72

---

3.
First-principles (PBE) data for a geometry-optimized BC3 structure, as listed in Alexandria.

Results
DOS at the Fermi energy: 0.08 states/eV per atom
ρ: 3.1 g/cm³
ΔH_f (0 K): 132 kJ/mol of formula units

a = 4.4323 Å, b = 4.4675 Å, c = 4.5830 Å
α = 70.16°, β = 80.28°, γ = 60.73°
Closest atoms and distances in Å follow each position.
Atoms (fractional coordinates):
B (0.0000, 0.0000, 0.0000)  2 C 1.56-1.57
B (0.0393, 0.5510, 0.1691)  3 C 1.58-1.64
B (0.3895, 0.8995, 0.1709)  3 C 1.57-1.62
C (0.0268, 0.0820, 0.6403)  1 B 1.56, 3 C 1.56-1.60
C (0.0304, 0.4606, 0.5374)  3 C 1.56-1.60, 1 B 1.60
C (0.3632, 0.4151, 0.6569)  4 C 1.55-1.59
C (0.3627, 0.7865, 0.5359)  3 C 1.56-1.57, 1 B 1.58
C (0.3675, 0.2946, 0.0153)  2 C 1.55-1.56, 2 B 1.58-1.62
C (0.6839, 0.2603, 0.1558)  3 C 1.56-1.58, 1 B 1.57
C (0.6904, 0.1288, 0.5225)  4 C 1.56-1.59
C (0.6922, 0.6262, 0.0135)  2 C 1.54-1.56, 2 B 1.57-1.64
C (0.6956, 0.7489, 0.6552)  4 C 1.54-1.59

---

4.
First-principles (PBE) data for a geometry-optimized Sr2AcAg6 structure, as listed in Alexandria.

Results
DOS at the Fermi energy: 0.43 states/eV per atom
ρ: 7.1 g/cm³
ΔH_f (0 K): -251 kJ/mol of formula units

a = 8.4407 Å, b = 8.4407 Å, c = 3.9763 Å
α = 90.00°, β = 90.00°, γ = 120.00°
Closest atoms and distances in Å follow each position.
Atoms (fractional coordinates):
Sr (0.3333, 0.6667, 0.0000)  12 Ag 3.45
Sr (0.6667, 0.3333, 0.0000)  12 Ag 3.45
Ac (0.0000, 0.0000, 0.0000)  12 Ag 3.45
Ag (0.0000, 0.3333, 0.5000)  3 Ag 2.81
Ag (0.0000, 0.6667, 0.5000)  3 Ag 2.81
Ag (0.3333, 0.0000, 0.5000)  3 Ag 2.81
Ag (0.3333, 0.3333, 0.5000)  3 Ag 2.81
Ag (0.6667, 0.0000, 0.5000)  3 Ag 2.81
Ag (0.6667, 0.6667, 0.5000)  3 Ag 2.81

---

Repeat the second record exactly.
First-principles (PBE) data for a geometry-optimized ZrTi2Au2 structure, as listed in Alexandria.

Results
DOS at the Fermi energy: 2.40 states/eV per atom
ρ: 10.0 g/cm³
ΔH_f (0 K): -81 kJ/mol of formula units

a = 7.0389 Å, b = 7.0389 Å, c = 7.0389 Å
α = 148.17°, β = 148.17°, γ = 45.63°
Closest atoms and distances in Å follow each position.
Atoms (fractional coordinates):
Zr (0.0000, 0.0000, 0.0000)  8 Au 3.04
Ti (0.2500, 0.7500, 0.5000)  4 Au 2.72, 4 Ti 2.73
Ti (0.7500, 0.2500, 0.5000)  4 Au 2.72, 4 Ti 2.73
Au (0.3973, 0.3973, 0.0000)  1 Au 2.66, 4 Ti 2.72
Au (0.6027, 0.6027, 0.0000)  1 Au 2.66, 4 Ti 2.72